{"formula": "CrSi2O6", "functional": "PBE+U", "state": "relaxed", "e_tot_ev_per_cell": -548.25, "lattice_angstrom": [[-3.847, 2.360, 2.269], [-1.949, -9.109, 6.170], [11.617, 6.368, 13.069]], "species": ["O", "O", "O", "O", "O", "Cr", "O", "Cr", "O", "Si", "Cr", "Cr", "Si", "O", "O", "O", "O", "O", "O", "O", "O", "O", "Si", "O", "Si", "O", "Si", "Cr", "Si", "Si", "O", "Si", "Si", "O", "O", "O", "O", "O", "O", "O", "Si", "O", "Si", "Si", "O", "O", "O", "O", "Si", "O", "O", "O", "Si", "O", "O", "O", "O", "O", "O", "O", "O", "O", "Cr", "Si", "Cr", "Si", "O", "O", "O", "O", "Cr", "O"], "frac_coords": [[0.317, 0.063, 0.066], [0.256, 0.927, 0.326], [0.817, 0.437, 0.066], [0.817, 0.937, 0.434], [0.295, 0.403, 0.315], [0.024, 0.520, 0.127], [0.626, 0.783, 0.268], [0.524, 0.480, 0.373], [0.874, 0.783, 0.768], [0.822, 0.667, 0.262], [0.976, 0.480, 0.873], [0.524, 0.980, 0.127], [0.237, 0.670, 0.991], [0.705, 0.097, 0.815], [0.205, 0.903, 0.685], [0.183, 0.063, 0.566], [0.756, 0.573, 0.326], [0.683, 0.937, 0.934], [0.795, 0.097, 0.315], [0.538, 0.217, 0.522], [0.705, 0.597, 0.685], [0.795, 0.597, 0.185], [0.322, 0.833, 0.262], [0.788, 0.877, 0.574], [0.322, 0.333, 0.238], [0.744, 0.573, 0.826], [0.263, 0.670, 0.491], [0.976, 0.980, 0.627], [0.763, 0.830, 0.491], [0.178, 0.833, 0.762], [0.962, 0.217, 0.022], [0.763, 0.330, 0.009], [0.737, 0.830, 0.991], [0.712, 0.877, 0.074], [0.462, 0.283, 0.022], [0.683, 0.437, 0.566], [0.126, 0.217, 0.232], [0.212, 0.123, 0.426], [0.744, 0.073, 0.674], [0.374, 0.217, 0.732], [0.263, 0.170, 0.009], [0.756, 0.073, 0.174], [0.822, 0.167, 0.238], [0.178, 0.333, 0.738], [0.288, 0.623, 0.574], [0.183, 0.563, 0.934], [0.788, 0.377, 0.926], [0.244, 0.427, 0.674], [0.678, 0.667, 0.762], [0.374, 0.717, 0.768], [0.538, 0.717, 0.978], [0.317, 0.563, 0.434], [0.678, 0.167, 0.738], [0.244, 0.927, 0.826], [0.962, 0.717, 0.478], [0.712, 0.377, 0.426], [0.205, 0.403, 0.815], [0.288, 0.123, 0.926], [0.212, 0.623, 0.074], [0.038, 0.283, 0.522], [0.126, 0.717, 0.268], [0.462, 0.783, 0.478], [0.024, 0.020, 0.373], [0.237, 0.170, 0.509], [0.476, 0.020, 0.873], [0.737, 0.330, 0.509], [0.038, 0.783, 0.978], [0.295, 0.903, 0.185], [0.256, 0.427, 0.174], [0.626, 0.283, 0.232], [0.476, 0.520, 0.627], [0.874, 0.283, 0.732]]}